(1)
An optimized crystal structure of YHfNi2Rh, computed with GGA-PBEsol.

Output
Energy relative to the elements in eV per atom: 0.79

Cell: 4.581 4.581 4.773 Å, 90.00 90.00 90.00°
Site moments in Bohr magnetons follow the coordinates.
Atoms (fractional coordinates):
Y (0.000, 0.000, 0.500)  0.04
Rh (0.000, 0.000, 0.000)  0.23
Hf (0.500, 0.500, 0.500)  0.11
Ni (0.000, 0.500, 0.000)  0.39
Ni (0.500, 0.000, 0.000)  0.39

(2)
An optimized crystal structure of HfNi3Ru, computed with GGA-PBEsol.

Output
Energy relative to the elements in eV per atom: 1.55

Cell: 4.347 4.347 4.347 Å, 90.00 90.00 90.00°
Site moments in Bohr magnetons follow the coordinates.
Atoms (fractional coordinates):
Ru (0.500, 0.500, 0.500)  1.59
Hf (0.000, 0.000, 0.000)  -0.07
Ni (0.000, 0.500, 0.000)  0.04
Ni (0.000, 0.000, 0.500)  0.04
Ni (0.500, 0.000, 0.000)  0.04

(3)
An optimized crystal structure of HfZnNiRu2, computed with GGA-PBEsol.

Output
Energy relative to the elements in eV per atom: 1.50

Cell: 4.461 4.668 4.668 Å, 90.00 90.00 90.00°
Site moments in Bohr magnetons follow the coordinates.
Atoms (fractional coordinates):
Ru (0.000, 0.000, 0.500)  0.68
Ru (0.000, 0.500, 0.000)  0.68
Zn (0.500, 0.500, 0.500)  -0.01
Hf (0.000, 0.000, 0.000)  -0.07
Ni (0.500, 0.000, 0.000)  0.14

(4)
An optimized crystal structure of Hf2NiS2, computed with GGA-PBEsol.

Output
Formation energy from raw total energies in kJ per mole of atoms: -37

Cell: 4.012 4.012 6.545 Å, 107.85 107.85 90.00°
Atoms (fractional coordinates):
Ni (0.000, 0.000, 0.000)
S (0.250, 0.750, 0.500)
S (0.750, 0.250, 0.500)
Hf (0.376, 0.376, 0.753)
Hf (0.624, 0.624, 0.247)

(5)
An optimized crystal structure of HfZr2NiS, computed with GGA-PBEsol.

Output
Formation energy from raw total energies in kJ per mole of atoms: 21

Cell: 4.689 4.792 4.792 Å, 90.00 90.00 90.00°
Atoms (fractional coordinates):
Ni (0.000, 0.000, 0.000)
S (0.500, 0.500, 0.500)
Hf (0.500, 0.000, 0.000)
Zr (0.000, 0.000, 0.500)
Zr (0.000, 0.500, 0.000)

(6)
An optimized crystal structure of HfNi2Sb, computed with GGA-PBEsol.

Output
Formation energy from raw total energies in kJ per mole of atoms: -56

Cell: 4.166 4.166 8.113 Å, 90.00 90.00 120.00°
Atoms (fractional coordinates):
Hf (0.333, 0.667, 0.250)
Hf (0.667, 0.333, 0.750)
Ni (0.333, 0.667, 0.596)
Ni (0.667, 0.333, 0.404)
Ni (0.667, 0.333, 0.096)
Ni (0.333, 0.667, 0.904)
Sb (0.000, 0.000, 0.000)
Sb (0.000, 0.000, 0.500)

(7)
An optimized crystal structure of HfNiSb, computed with GGA-PBEsol.

Output
Formation energy from raw total energies in kJ per mole of atoms: -56

Cell: 4.264 4.264 4.264 Å, 60.00 60.00 60.00°
Atoms (fractional coordinates):
Sb (0.000, 0.000, 0.000)
Hf (0.500, 0.500, 0.500)
Ni (0.250, 0.250, 0.250)

(8)
An optimized crystal structure of Hf3Ni3Sb4, computed with GGA-PBEsol.

Output
Formation energy from raw total energies in kJ per mole of atoms: -61

Cell: 7.769 7.769 7.769 Å, 109.47 109.47 109.47°
Atoms (fractional coordinates):
Hf (0.375, 0.625, 0.750)
Hf (0.125, 0.875, 0.250)
Hf (0.625, 0.250, 0.875)
Hf (0.875, 0.750, 0.625)
Hf (0.750, 0.125, 0.375)
Hf (0.250, 0.375, 0.125)
Ni (0.875, 0.125, 0.750)
Ni (0.625, 0.375, 0.250)
Ni (0.125, 0.250, 0.375)
Ni (0.375, 0.750, 0.125)
Ni (0.750, 0.625, 0.875)
Ni (0.250, 0.875, 0.625)
Sb (0.833, 0.000, 0.000)
Sb (0.667, 0.667, 0.167)
Sb (0.000, 0.500, 0.333)
Sb (0.333, 0.000, 0.000)
Sb (0.500, 0.833, 0.500)
Sb (0.167, 0.167, 0.667)
Sb (0.500, 0.333, 0.500)
Sb (0.000, 0.500, 0.833)

(9)
An optimized crystal structure of HfNiSb, computed with GGA-PBEsol.

Output
Formation energy from raw total energies in kJ per mole of atoms: -55

Cell: 4.084 6.595 7.591 Å, 90.00 90.00 90.00°
Atoms (fractional coordinates):
Sb (0.750, 0.202, 0.408)
Sb (0.250, 0.798, 0.592)
Sb (0.750, 0.702, 0.092)
Sb (0.250, 0.298, 0.908)
Hf (0.250, 0.000, 0.190)
Hf (0.750, 0.000, 0.810)
Hf (0.250, 0.500, 0.310)
Hf (0.750, 0.500, 0.690)
Ni (0.750, 0.310, 0.092)
Ni (0.250, 0.690, 0.908)
Ni (0.750, 0.810, 0.408)
Ni (0.250, 0.190, 0.592)

(10)
An optimized crystal structure of Hf3NiSb7, computed with GGA-PBEsol.

Output
Formation energy from raw total energies in kJ per mole of atoms: -44

Cell: 3.896 14.277 17.289 Å, 90.00 90.00 90.00°
Atoms (fractional coordinates):
Hf (0.250, 0.309, 0.846)
Hf (0.250, 0.191, 0.346)
Hf (0.750, 0.691, 0.154)
Hf (0.750, 0.809, 0.654)
Hf (0.250, 0.028, 0.870)
Hf (0.250, 0.472, 0.370)
Hf (0.750, 0.972, 0.130)
Hf (0.750, 0.528, 0.630)
Hf (0.250, 0.591, 0.893)
Hf (0.250, 0.909, 0.393)
Hf (0.750, 0.409, 0.107)
Hf (0.750, 0.091, 0.607)
Ni (0.250, 0.811, 0.937)
Ni (0.250, 0.689, 0.437)
Ni (0.750, 0.189, 0.063)
Ni (0.750, 0.311, 0.563)
Sb (0.250, 0.202, 0.521)
Sb (0.250, 0.298, 0.021)
Sb (0.750, 0.798, 0.479)
Sb (0.750, 0.702, 0.979)
Sb (0.250, 0.424, 0.537)
Sb (0.250, 0.076, 0.037)
Sb (0.750, 0.576, 0.463)
Sb (0.750, 0.924, 0.963)
Sb (0.250, 0.940, 0.571)
Sb (0.250, 0.560, 0.071)
Sb (0.750, 0.060, 0.429)
Sb (0.750, 0.440, 0.929)
Sb (0.250, 0.674, 0.593)
Sb (0.250, 0.826, 0.093)
Sb (0.750, 0.326, 0.407)
Sb (0.750, 0.174, 0.907)
Sb (0.250, 0.146, 0.728)
Sb (0.250, 0.354, 0.228)
Sb (0.750, 0.854, 0.272)
Sb (0.750, 0.646, 0.772)
Sb (0.250, 0.479, 0.749)
Sb (0.250, 0.021, 0.249)
Sb (0.750, 0.521, 0.251)
Sb (0.750, 0.979, 0.751)
Sb (0.250, 0.816, 0.790)
Sb (0.250, 0.684, 0.290)
Sb (0.750, 0.184, 0.210)
Sb (0.750, 0.316, 0.710)

(11)
An optimized crystal structure of Hf5NiSb3, computed with GGA-PBEsol.

Output
Formation energy from raw total energies in kJ per mole of atoms: -57

Cell: 5.655 8.460 8.460 Å, 120.00 90.00 90.00°
Atoms (fractional coordinates):
Hf (0.000, 0.667, 0.333)
Hf (0.000, 0.333, 0.667)
Hf (0.500, 0.333, 0.667)
Hf (0.500, 0.667, 0.333)
Hf (0.250, 0.256, 0.256)
Hf (0.250, 0.000, 0.744)
Hf (0.250, 0.744, 0.000)
Hf (0.750, 0.744, 0.744)
Hf (0.750, 0.000, 0.256)
Hf (0.750, 0.256, 0.000)
Ni (0.500, 0.000, 0.000)
Ni (0.000, 0.000, 0.000)
Sb (0.250, 0.611, 0.611)
Sb (0.250, 0.000, 0.389)
Sb (0.250, 0.389, 0.000)
Sb (0.750, 0.389, 0.389)
Sb (0.750, 0.000, 0.611)
Sb (0.750, 0.611, 0.000)

(12)
An optimized crystal structure of Hf2ScNi2, computed with GGA-PBEsol.

Output
Energy relative to the elements in eV per atom: -0.39

Cell: 3.202 7.234 7.234 Å, 90.00 90.00 90.00°
Atoms (fractional coordinates):
Sc (0.000, 0.000, 0.000)
Sc (0.000, 0.500, 0.500)
Ni (0.000, 0.375, 0.875)
Ni (0.000, 0.875, 0.625)
Ni (0.000, 0.625, 0.125)
Ni (0.000, 0.125, 0.375)
Hf (0.500, 0.166, 0.666)
Hf (0.500, 0.666, 0.834)
Hf (0.500, 0.834, 0.334)
Hf (0.500, 0.334, 0.166)